An optimized crystal structure of Nd2Y3P4. Source: Alexandria via LeMat-Bulk, functional PBE.

N(E_F) = 5.3 states/eV/cell
DFT formation energy = -1232 kJ/mol of formula units
space group = C2/m (12)

```
9
Lattice="-3.762 1.027 1.014 -2.005 -4.400 5.021 1.186 4.537 7.809" Properties=species:S:1:pos:R:3 pbc="T T T"
P -1.036 3.170 8.955
P -1.718 -0.540 10.181
P -3.545 -2.006 4.889
P -2.863 1.703 3.663
Nd -1.931 2.512 6.302
Nd -2.651 -1.349 7.542
Y 0.000 0.000 0.000
Y -1.354 -0.702 3.691
Y -3.227 1.865 10.153
```

=====

An optimized crystal structure of KOs. Source: Alexandria via LeMat-Bulk, functional PBE.

N(E_F) = 10.3 states/eV/cell
DFT formation energy = 221 kJ/mol of formula units
space group = Imm2 (44)

```
12
Lattice="-14.386 -0.215 0.274 0.013 -3.337 -1.916 0.168 -3.487 6.076" Properties=species:S:1:pos:R:3 pbc="T T T"
K -2.831 -2.874 4.986
K 0.013 -1.808 -0.715
K -7.102 -1.990 3.418
K -10.101 -2.906 1.127
K -4.167 -2.817 1.014
K -11.283 -3.000 5.147
Os -5.782 -4.918 4.663
Os -1.184 -1.436 2.493
Os -7.189 -0.200 0.299
Os -13.066 -1.613 2.720
Os 0.095 -3.505 2.242
Os -8.286 -4.956 4.710
```

=====

An optimized crystal structure of Tl3OsF7. Source: Alexandria via LeMat-Bulk, functional PBE.

space group = Cm (8)
formation energy from raw total energies = -1.68 eV/atom

```
11
Lattice="5.727 0.060 2.816 -1.258 5.587 2.816 0.002 0.003 6.621" Properties=species:S:1:pos:R:3 pbc="T T T"
Os 4.275 5.402 5.630
Tl 2.218 2.803 9.074
Tl 4.045 1.319 6.061
Tl 0.354 4.240 6.061
F 0.499 0.631 1.756
F -0.317 1.518 5.670
F -0.250 3.765 3.245
F 3.212 4.059 6.729
F 3.722 0.623 3.245
F 3.605 4.556 10.480
F 1.550 0.041 5.670
```

=====

An optimized crystal structure of SrNbBi3. Source: Alexandria via LeMat-Bulk, functional PBE.

N(E_F) = 5.3 states/eV/cell
DFT formation energy = 1 kJ/mol of formula units
space group = Pm-3m (221)

```
5
Lattice="-2.808 -4.408 -1.980 4.631 -1.799 -2.561 1.383 -2.927 4.556" Properties=species:S:1:pos:R:3 pbc="T T T"
Bi 2.315 -0.900 -1.281
Bi -1.404 -2.204 -0.990
Bi 0.691 -1.464 2.278
Sr 1.603 -4.567 0.008
Nb 0.000 0.000 0.000
```